First-principles (SCAN) data for a PBEsol-optimized structure of YInRe2Cl, as listed in Alexandria.

POSCAR file:
```
YInRe2Cl
1.0
-4.8816 -0.2370 -0.3754
0.4392 -3.1808 -3.7035
-0.0789 -4.5539 3.9018
Re Cl Y In
2 1 1 1
Direct
0.0000 0.5000 0.0000 Re
0.5000 0.0000 0.0000 Re
0.5000 0.5000 0.5000 Cl
0.0000 0.0000 0.0000 Y
0.0000 0.0000 0.5000 In
```

DOS(E_F): 0.54 states/eV per atom
calculated volume: 144 Å³ per cell
raw total energy: -199.87 eV per cell